VASP calculation (PBE) on BaAu3Br after structural relaxation.

* calculated total energy: -2.04 eV per atom
* excess energy over the best structure of this formula in the dataset: 0.529 eV/atom
* space-group type: Pm-3m
* formation energy (no corrections): 645 meV per atom
* DOS at the Fermi energy: 11.4 states/eV/cell

```
data_BaAu3Br
_symmetry_space_group_name_H-M 'P 1'
_symmetry_Int_Tables_number 1
_cell_length_a 6.105
_cell_length_b 6.105
_cell_length_c 6.105
_cell_angle_alpha 90.00
_cell_angle_beta 90.00
_cell_angle_gamma 90.00
loop_
_symmetry_equiv_pos_as_xyz
'x,y,z'
loop_
_atom_site_label
_atom_site_type_symbol
_atom_site_fract_x
_atom_site_fract_y
_atom_site_fract_z
Ba1 Ba 0.000 0.000 0.000
Au1 Au 0.000 0.000 0.500
Au2 Au 0.000 0.500 0.000
Au3 Au 0.500 0.000 0.000
Br1 Br 0.500 0.500 0.500
```